The following is a DFT calculation (PBE) of an optimized crystal structure of Li3Nb2In3O12.

## Properties
M_tot   2.00 μB/f.u.
Final energy   -6.388 eV per atom

a = 10.4934 Å, b = 10.4934 Å, c = 10.4934 Å
α = 109.47°, β = 109.47°, γ = 109.47°
Closest atoms and distances in Å follow each position.
Atoms (fractional coordinates):
O (0.9125, 0.5350, 0.3210)  1 Li 1.85, 1 Nb 2.01
O (0.0875, 0.1225, 0.4085)  1 Li 1.85, 1 Nb 2.01
O (0.9085, 0.7860, 0.3210)  1 Li 1.85, 1 Nb 2.01
O (0.3775, 0.0915, 0.9125)  1 Li 1.85, 1 Nb 2.01
Nb (0.0000, 0.5000, 0.5000)  6 O 2.01
O (0.9085, 0.6225, 0.5875)  1 Li 1.85, 1 Nb 2.01
O (0.4650, 0.0875, 0.1790)  1 Li 1.85, 1 Nb 2.01
O (0.5350, 0.1225, 0.7140)  1 Li 1.85, 1 Nb 2.01
O (0.0915, 0.2140, 0.6790)  1 Li 1.85, 1 Nb 2.01
O (0.4650, 0.8775, 0.2860)  1 Li 1.85, 1 Nb 2.01
O (0.4125, 0.3210, 0.5350)  1 Li 1.85, 1 Nb 2.01
Nb (0.5000, 0.0000, 0.5000)  6 O 2.01
O (0.6225, 0.9085, 0.0875)  1 Li 1.85, 1 Nb 2.01
O (0.5915, 0.4125, 0.3775)  1 Li 1.85, 1 Nb 2.01
O (0.3775, 0.7860, 0.4650)  1 Li 1.85, 1 Nb 2.01
O (0.9125, 0.8775, 0.5915)  1 Li 1.85, 1 Nb 2.01
Li (0.1250, 0.3750, 0.2500)  4 O 1.85
O (0.7860, 0.3775, 0.9650)  1 Li 1.85, 1 Nb 2.01
Li (0.7500, 0.3750, 0.1250)  4 O 1.85
In (0.7500, 0.6250, 0.3750)  8 O 2.31-2.34
Nb (0.5000, 0.5000, 0.0000)  6 O 2.01
O (0.1790, 0.9650, 0.5875)  1 Li 1.85, 1 Nb 2.01
Li (0.3750, 0.1250, 0.7500)  4 O 1.85
Li (0.2500, 0.1250, 0.3750)  4 O 1.85
In (0.8750, 0.2500, 0.6250)  8 O 2.31-2.34
O (0.9650, 0.1790, 0.0875)  1 Li 1.85, 1 Nb 2.01
O (0.7140, 0.0350, 0.6225)  1 Li 1.85, 1 Nb 2.01
In (0.8750, 0.1250, 0.2500)  8 O 2.31-2.34
In (0.6250, 0.3750, 0.7500)  8 O 2.31-2.34
O (0.2140, 0.0915, 0.1790)  1 Li 1.85, 1 Nb 2.01
O (0.8775, 0.9125, 0.0915)  1 Li 1.85, 1 Nb 2.01
Nb (0.0000, 0.0000, 0.0000)  6 O 2.01
Nb (0.0000, 0.5000, 0.0000)  6 O 2.01
O (0.6790, 0.5915, 0.7140)  1 Li 1.85, 1 Nb 2.01
In (0.1250, 0.8750, 0.7500)  8 O 2.31-2.34
Nb (0.5000, 0.5000, 0.5000)  6 O 2.01
O (0.4085, 0.3210, 0.7860)  1 Li 1.85, 1 Nb 2.01
Li (0.7500, 0.8750, 0.6250)  4 O 1.85
In (0.7500, 0.1250, 0.8750)  8 O 2.31-2.34
O (0.0915, 0.3775, 0.4125)  1 Li 1.85, 1 Nb 2.01
O (0.6790, 0.5875, 0.9650)  1 Li 1.85, 1 Nb 2.01
Li (0.6250, 0.2500, 0.3750)  4 O 1.85
O (0.7860, 0.9085, 0.8210)  1 Li 1.85, 1 Nb 2.01
Li (0.8750, 0.7500, 0.1250)  4 O 1.85
In (0.3750, 0.6250, 0.2500)  8 O 2.31-2.34
O (0.2860, 0.9650, 0.3775)  1 Li 1.85, 1 Nb 2.01
O (0.6225, 0.2140, 0.5350)  1 Li 1.85, 1 Nb 2.01
O (0.2860, 0.8210, 0.9085)  1 Li 1.85, 1 Nb 2.01
O (0.0350, 0.8210, 0.9125)  1 Li 1.85, 1 Nb 2.01
O (0.9650, 0.2860, 0.8775)  1 Li 1.85, 1 Nb 2.01
O (0.4085, 0.5875, 0.6225)  1 Li 1.85, 1 Nb 2.01
Li (0.2500, 0.6250, 0.8750)  4 O 1.85
O (0.5875, 0.6790, 0.4650)  1 Li 1.85, 1 Nb 2.01
O (0.3210, 0.4125, 0.0350)  1 Li 1.85, 1 Nb 2.01
Li (0.8750, 0.6250, 0.7500)  4 O 1.85
Li (0.6250, 0.8750, 0.2500)  4 O 1.85
Li (0.1250, 0.2500, 0.8750)  4 O 1.85
O (0.8775, 0.4650, 0.7860)  1 Li 1.85, 1 Nb 2.01
O (0.4125, 0.5915, 0.8775)  1 Li 1.85, 1 Nb 2.01
In (0.6250, 0.7500, 0.8750)  8 O 2.31-2.34
O (0.5915, 0.6790, 0.2140)  1 Li 1.85, 1 Nb 2.01
O (0.1225, 0.0875, 0.9085)  1 Li 1.85, 1 Nb 2.01
O (0.3210, 0.4085, 0.2860)  1 Li 1.85, 1 Nb 2.01
Nb (0.5000, 0.0000, 0.0000)  6 O 2.01
O (0.8210, 0.2860, 0.4085)  1 Li 1.85, 1 Nb 2.01
O (0.1225, 0.5350, 0.2140)  1 Li 1.85, 1 Nb 2.01
O (0.5875, 0.4085, 0.1225)  1 Li 1.85, 1 Nb 2.01
O (0.5350, 0.9125, 0.8210)  1 Li 1.85, 1 Nb 2.01
O (0.1790, 0.7140, 0.5915)  1 Li 1.85, 1 Nb 2.01
O (0.8210, 0.0350, 0.4125)  1 Li 1.85, 1 Nb 2.01
O (0.0875, 0.4650, 0.6790)  1 Li 1.85, 1 Nb 2.01
O (0.7140, 0.1790, 0.0915)  1 Li 1.85, 1 Nb 2.01
Li (0.3750, 0.7500, 0.6250)  4 O 1.85
O (0.2140, 0.6225, 0.0350)  1 Li 1.85, 1 Nb 2.01
In (0.2500, 0.3750, 0.6250)  8 O 2.31-2.34
Nb (0.0000, 0.0000, 0.5000)  6 O 2.01
In (0.2500, 0.8750, 0.1250)  8 O 2.31-2.34
O (0.0350, 0.7140, 0.1225)  1 Li 1.85, 1 Nb 2.01
In (0.1250, 0.7500, 0.3750)  8 O 2.31-2.34
In (0.3750, 0.2500, 0.1250)  8 O 2.31-2.34

***

The following is a DFT calculation (PBE) of an optimized crystal structure of Li3Nb3In2O12.

## Properties
M_tot   0.00 μB/f.u.
Final energy   -6.975 eV per atom

a = 10.2745 Å, b = 10.2745 Å, c = 10.2745 Å
α = 109.47°, β = 109.47°, γ = 109.47°
Closest atoms and distances in Å follow each position.
Atoms (fractional coordinates):
Nb (0.3750, 0.6250, 0.2500)  8 O 2.13-2.26
O (0.3163, 0.4164, 0.0512)  1 Li 1.84
O (0.4488, 0.0836, 0.1837)  1 Li 1.84
O (0.8652, 0.9164, 0.1001)  1 Li 1.84
In (0.0000, 0.0000, 0.5000)  6 O 2.11
O (0.8163, 0.2651, 0.3999)  1 Li 1.84
O (0.4488, 0.8652, 0.2651)  1 Li 1.84
O (0.9164, 0.5512, 0.3163)  1 Li 1.84
O (0.9488, 0.2651, 0.8652)  1 Li 1.84
Li (0.7500, 0.3750, 0.1250)  4 O 1.84
In (0.0000, 0.0000, 0.0000)  6 O 2.11
O (0.7349, 0.1837, 0.1001)  1 Li 1.84
O (0.0836, 0.1348, 0.3999)  1 Li 1.84
O (0.9164, 0.8652, 0.6001)  1 Li 1.84
In (0.5000, 0.0000, 0.0000)  6 O 2.11
O (0.1001, 0.2349, 0.6837)  1 Li 1.84
Nb (0.6250, 0.3750, 0.7500)  8 O 2.13-2.26
Li (0.3750, 0.1250, 0.7500)  4 O 1.84
O (0.6837, 0.5836, 0.9488)  1 Li 1.84
O (0.5512, 0.9164, 0.8163)  1 Li 1.84
O (0.5512, 0.1348, 0.7349)  1 Li 1.84
O (0.6001, 0.6837, 0.2349)  1 Li 1.84
O (0.0512, 0.8163, 0.9164)  1 Li 1.84
Nb (0.8750, 0.2500, 0.6250)  8 O 2.13-2.26
O (0.2651, 0.8163, 0.8999)  1 Li 1.84
Li (0.2500, 0.6250, 0.8750)  4 O 1.84
In (0.5000, 0.0000, 0.5000)  6 O 2.11
O (0.2349, 0.6348, 0.0512)  1 Li 1.84
In (0.5000, 0.5000, 0.5000)  6 O 2.11
O (0.4164, 0.3163, 0.5512)  1 Li 1.84
In (0.0000, 0.5000, 0.0000)  6 O 2.11
Li (0.6250, 0.2500, 0.3750)  4 O 1.84
Nb (0.1250, 0.8750, 0.7500)  8 O 2.13-2.26
O (0.3999, 0.3163, 0.7651)  1 Li 1.84
Nb (0.1250, 0.7500, 0.3750)  8 O 2.13-2.26
In (0.5000, 0.5000, 0.0000)  6 O 2.11
O (0.1348, 0.0836, 0.8999)  1 Li 1.84
Li (0.7500, 0.8750, 0.6250)  4 O 1.84
O (0.2651, 0.9488, 0.3652)  1 Li 1.84
O (0.8999, 0.7651, 0.3163)  1 Li 1.84
Li (0.1250, 0.2500, 0.8750)  4 O 1.84
O (0.9488, 0.1837, 0.0836)  1 Li 1.84
O (0.6837, 0.6001, 0.7349)  1 Li 1.84
O (0.5836, 0.3999, 0.1348)  1 Li 1.84
O (0.0836, 0.4488, 0.6837)  1 Li 1.84
Li (0.2500, 0.1250, 0.3750)  4 O 1.84
O (0.3652, 0.1001, 0.9164)  1 Li 1.84
Nb (0.8750, 0.1250, 0.2500)  8 O 2.13-2.26
O (0.6348, 0.2349, 0.5512)  1 Li 1.84
Li (0.3750, 0.7500, 0.6250)  4 O 1.84
Nb (0.6250, 0.7500, 0.8750)  8 O 2.13-2.26
Nb (0.2500, 0.8750, 0.1250)  8 O 2.13-2.26
Nb (0.2500, 0.3750, 0.6250)  8 O 2.13-2.26
O (0.8163, 0.0512, 0.4164)  1 Li 1.84
O (0.6001, 0.4164, 0.3652)  1 Li 1.84
Li (0.8750, 0.7500, 0.1250)  4 O 1.84
O (0.8999, 0.6348, 0.5836)  1 Li 1.84
O (0.4164, 0.6001, 0.8652)  1 Li 1.84
In (0.0000, 0.5000, 0.5000)  6 O 2.11
O (0.3652, 0.7651, 0.4488)  1 Li 1.84
O (0.7651, 0.3652, 0.9488)  1 Li 1.84
O (0.3999, 0.5836, 0.6348)  1 Li 1.84
O (0.2349, 0.1001, 0.1837)  1 Li 1.84
O (0.7349, 0.0512, 0.6348)  1 Li 1.84
Li (0.8750, 0.6250, 0.7500)  4 O 1.84
O (0.6348, 0.8999, 0.0836)  1 Li 1.84
O (0.8652, 0.4488, 0.7651)  1 Li 1.84
O (0.1837, 0.7349, 0.6001)  1 Li 1.84
Nb (0.7500, 0.6250, 0.3750)  8 O 2.13-2.26
O (0.5836, 0.6837, 0.4488)  1 Li 1.84
Nb (0.7500, 0.1250, 0.8750)  8 O 2.13-2.26
O (0.0512, 0.7349, 0.1348)  1 Li 1.84
Nb (0.3750, 0.2500, 0.1250)  8 O 2.13-2.26
Li (0.1250, 0.3750, 0.2500)  4 O 1.84
O (0.7651, 0.8999, 0.8163)  1 Li 1.84
O (0.3163, 0.3999, 0.2651)  1 Li 1.84
O (0.1001, 0.3652, 0.4164)  1 Li 1.84
O (0.1837, 0.9488, 0.5836)  1 Li 1.84
O (0.1348, 0.5512, 0.2349)  1 Li 1.84
Li (0.6250, 0.8750, 0.2500)  4 O 1.84

***

The following is a DFT calculation (PBE) of an optimized crystal structure of Li2NbIn2Os2W.

## Properties
M_tot   0.02 μB/f.u.
Final energy   -6.865 eV per atom

a = 4.4740 Å, b = 4.4740 Å, c = 6.3228 Å
α = 90.00°, β = 90.00°, γ = 90.00°
Closest atoms and distances in Å follow each position.
Atoms (fractional coordinates):
Os (0.5000, 0.0000, 0.7409)  2 W 2.71, 4 In 2.71-2.77, 2 Nb 2.77
In (0.5000, 0.5000, 0.0000)  4 Li 2.74, 4 Os 2.77
Os (0.0000, 0.5000, 0.2591)  4 In 2.71-2.77, 2 W 2.71, 2 Nb 2.77
Li (0.5000, 0.0000, 0.2509)  2 W 2.74, 4 In 2.74, 2 Nb 2.74
In (0.0000, 0.0000, 0.5000)  4 Os 2.71, 4 Li 2.74
Li (0.0000, 0.5000, 0.7491)  4 In 2.74, 2 W 2.74, 2 Nb 2.74
Nb (0.0000, 0.0000, 0.0000)  4 Li 2.74, 4 Os 2.77
W (0.5000, 0.5000, 0.5000)  4 Os 2.71, 4 Li 2.74

***

The following is a DFT calculation (PBE) of an optimized crystal structure of LiNdIn.

## Properties
M_tot   0.00 μB/f.u.
Final energy   -3.269 eV per atom

a = 4.8110 Å, b = 4.8110 Å, c = 4.8110 Å
α = 60.00°, β = 60.00°, γ = 60.00°
Closest atoms and distances in Å follow each position.
Atoms (fractional coordinates):
Nd (0.5000, 0.5000, 0.5000)  4 Li 2.95
Li (0.2500, 0.2500, 0.2500)  4 Nd 2.95, 4 In 2.95
In (0.0000, 0.0000, 0.0000)  4 Li 2.95